Entry 1:
This record from Alexandria describes a relaxed structure of Cs2Cu2F7. The functional is PBE.

Computed properties:
Magnetic moment, μB/f.u.: 0.7
Crystal system: orthorhombic
Formation energy (no corrections), eV per atom: -1.986
Electronic total energy, eV/cell: -44.85

Unit cell a=3.8696 b=7.5482 c=7.5481 alpha=115.69 beta=90.02 gamma=90.02
Closest atoms and distances in Å follow each position.
Fractional coordinates of all 11 atoms:
F  0.9994  0.7187  0.7187  2 Cu 1.94
F  0.5007  0.1362  0.4212  1 Cu 1.83
Cu  0.5006  0.2589  0.2589  4 F 1.83-1.94
Cs  0.0000  0.7793  0.2207  10 F 3.12-3.42
Cs  0.0000  0.2207  0.7793  10 F 3.12-3.42
F  0.0006  0.2813  0.2813  2 Cu 1.94
Cu  0.4994  0.7411  0.7411  4 F 1.83-1.94
F  0.5007  0.4212  0.1362  1 Cu 1.83
F  0.5000  0.0000  0.0000  2 Cu 2.08
F  0.4993  0.5788  0.8638  1 Cu 1.83
F  0.4993  0.8638  0.5788  1 Cu 1.83

Entry 2:
This record from Alexandria describes a relaxed structure of ReOs2Pt. The functional is PBE.

Computed properties:
Magnetic moment, μB/f.u.: 0.0
Crystal system: cubic
Energy of formation from the pure elements, eV/f.u.: 2.20
Electronic total energy, eV/cell: -38.75

Unit cell a=4.4045 b=4.4045 c=4.4045 alpha=60.00 beta=60.00 gamma=60.00
Closest atoms and distances in Å follow each position.
Fractional coordinates of all 4 atoms:
Os  0.2500  0.2500  0.2500  4 Re 2.70, 4 Pt 2.70
Os  0.7500  0.7500  0.7500  4 Pt 2.70, 4 Re 2.70
Pt  0.0000  0.0000  0.0000  8 Os 2.70
Re  0.5000  0.5000  0.5000  8 Os 2.70